Model one:
## TaRe2Br (PBE)

Data for crystalline TaRe2Br at its relaxed geometry.

Cell: 4.7547 2.8887 4.9026 Å, 87.99 90.00 90.00°
Positions (direct):
Re 0.0000 0.9303 0.0092
Re 0.0000 0.5697 0.4908
Br 0.5000 0.7500 0.7500
Ta 0.5000 0.2500 0.2500

Symmetry ... P2/m

Model two:
## TaRe2Br (PBE)

Data for crystalline TaRe2Br at its relaxed geometry.

Cell: 8.7583 8.7583 8.7583 Å, 20.11 20.11 20.11°
Positions (direct):
Re 0.9960 0.9960 0.9960
Re 0.5040 0.5040 0.5040
Br 0.7500 0.7500 0.7500
Ta 0.2500 0.2500 0.2500

Symmetry ... R-3m

Which one sits at the bottom of the stability order? model one does.

Model one:
## TaRe2Br (PBE)

Data for crystalline TaRe2Br at its relaxed geometry.

Cell: 5.4178 5.4178 5.4178 Å, 147.39 129.85 61.11°
Positions (direct):
Re 0.0065 0.0065 0.0000
Re 0.7644 0.2644 0.5000
Br 0.2455 0.7455 0.5000
Ta 0.4836 0.4836 0.0000

Symmetry ... Imm2

Model two:
## TaRe2Br (PBE)

Data for crystalline TaRe2Br at its relaxed geometry.

Cell: 2.9633 4.7068 4.6929 Å, 90.00 90.00 90.00°
Positions (direct):
Re 0.0000 0.0000 0.0000
Re 0.5000 0.5000 0.0000
Br 0.0000 0.5000 0.5000
Ta 0.5000 0.0000 0.5000

Symmetry ... Pmmm

Model three:
## TaRe2Br (PBE)

Data for crystalline TaRe2Br at its relaxed geometry.

Cell: 5.7836 5.7836 6.9402 Å, 65.37 65.37 90.00°
Positions (direct):
Re 0.6072 0.1250 0.2500
Re 0.1428 0.6250 0.2500
Re 0.3750 0.3928 0.7500
Re 0.8750 0.8572 0.7500
Br 0.5000 0.5000 0.0000
Br 0.2500 0.7500 0.5000
Ta 0.0000 0.0000 0.0000
Ta 0.7500 0.2500 0.5000

Symmetry ... I-42d

Which one sits at the bottom of the stability order? model three does.

Model one:
## TaRe2Br (PBE)

Data for crystalline TaRe2Br at its relaxed geometry.

Cell: 5.0831 5.0831 4.7087 Å, 74.60 74.60 34.87°
Positions (direct):
Re 0.9921 0.9921 0.0586
Re 0.2653 0.2653 0.1669
Br 0.7414 0.7414 0.7344
Ta 0.5013 0.5013 0.5401

Symmetry ... Cm

Model two:
## TaRe2Br (PBE)

Data for crystalline TaRe2Br at its relaxed geometry.

Cell: 3.1580 3.1580 6.7868 Å, 90.00 90.00 90.00°
Positions (direct):
Re 0.0000 0.0000 0.0183
Re 0.0000 0.0000 0.4817
Br 0.5000 0.5000 0.7500
Ta 0.5000 0.5000 0.2500

Symmetry ... P4/mmm

Which one sits at the bottom of the stability order? model one does.

Model one:
## TaRe2Br (PBE)

Data for crystalline TaRe2Br at its relaxed geometry.

Cell: 5.3120 5.3120 4.5011 Å, 85.55 85.55 33.04°
Positions (direct):
Re 0.9663 0.9663 0.0351
Re 0.5337 0.5337 0.4649
Br 0.7500 0.7500 0.7500
Ta 0.2500 0.2500 0.2500

Symmetry ... C2/m

Model two:
## TaRe2Br (PBE)

Data for crystalline TaRe2Br at its relaxed geometry.

Cell: 4.5496 4.5496 4.5496 Å, 60.00 60.00 60.00°
Positions (direct):
Re 0.0000 0.0000 0.0000
Re 0.2500 0.2500 0.2500
Br 0.5000 0.5000 0.5000
Ta 0.7500 0.7500 0.7500

Symmetry ... F-43m

Which one sits at the bottom of the stability order? model two does.